Here is an optimized crystal structure of Sc4InAu from the Alexandria database. Energies are from PBE.

abc: 4.718 4.719 6.890
angles: 89.98 89.99 90.00
Positions (direct):
Sc 0.501 0.998 0.732
Sc 0.501 0.997 0.264
Sc 0.001 0.497 0.732
Sc 0.001 0.497 0.264
In 0.501 0.497 0.998
Au 0.001 0.997 0.498

formation energy from the elements	-235	meV per atom
crystal system	tetragonal
excess energy over the best structure of this formula in the dataset	0	meV/atom
mass density	5.32	g/cm³